[1]
RbNdBe2F8 | GGA-PBE | optimized geometry

- V (Å³/f.u.) = 205.1
- energy (eV/atom) = -5.8052
- formation energy without anion corrections (meV per atom) = -3459

a = 5.0818 Å, b = 5.0818 Å, c = 8.6527 Å
α = 86.73°, β = 86.73°, γ = 66.92°
Last column: nearest neighbours and their distance in Å.
Positions (direct):
F  0.7343  0.7343  0.0685  1 Be 1.61
F  0.6935  0.6935  0.3730  1 Be 1.49
F  0.2657  0.2657  0.9315  1 Be 1.61
F  0.2817  0.7433  0.2003  1 Be 1.59
F  0.7183  0.2567  0.7997  1 Be 1.59
F  0.3065  0.3065  0.6270  1 Be 1.49
F  0.2567  0.7183  0.7997  1 Be 1.59
F  0.7433  0.2817  0.2003  1 Be 1.59
Rb  0.0000  0.0000  0.5000  6 F 2.89-3.00
Be  0.3830  0.3830  0.7769  4 F 1.49-1.61
Be  0.6170  0.6170  0.2231  4 F 1.49-1.61
Nd  0.0000  0.0000  0.0000  6 F 2.29-2.31

[2]
Li2AcTl2Cd | GGA-PBE | optimized geometry

- V (Å³/f.u.) = 166.9
- energy (eV/atom) = -2.3561
- formation energy (eV per atom) = -0.092

a = 4.0649 Å, b = 4.0649 Å, c = 11.8955 Å
α = 80.16°, β = 80.16°, γ = 60.00°
Last column: nearest neighbours and their distance in Å.
Positions (direct):
Tl  0.5923  0.5923  0.2230  3 Li 2.87
Tl  0.4077  0.4077  0.7770  3 Li 2.87
Li  0.7880  0.7880  0.6360  3 Cd 2.83, 3 Tl 2.87
Li  0.2120  0.2120  0.3640  3 Cd 2.83, 3 Tl 2.87
Cd  0.5000  0.5000  0.5000  6 Li 2.83
Ac  0.0000  0.0000  0.0000  6 Tl 3.50

[3]
NiSnS2 | GGA-PBE | optimized geometry

- V (Å³/f.u.) = 78.9
- energy (eV/atom) = -4.7482
- formation energy without anion corrections (meV per atom) = -238

a = 8.1583 Å, b = 8.1583 Å, c = 8.1583 Å
α = 23.99°, β = 23.99°, γ = 23.99°
Last column: nearest neighbours and their distance in Å.
Positions (direct):
Sn  0.0000  0.0000  0.0000  2 S 2.78
S  0.1169  0.1169  0.1169  3 Ni 2.29
S  0.8831  0.8831  0.8831  3 Ni 2.29
Ni  0.5000  0.5000  0.5000  6 S 2.29

[4]
K2RbAuSe | GGA-PBE | optimized geometry

- V (Å³/f.u.) = 250.9
- energy (eV/atom) = -2.6150
- formation energy without anion corrections (meV per atom) = -630

a = 6.1991 Å, b = 6.1991 Å, c = 6.5301 Å
α = 90.00°, β = 90.00°, γ = 90.00°
Last column: nearest neighbours and their distance in Å.
Positions (direct):
Se  0.0000  0.0000  0.0000  4 K 3.10, 2 Rb 3.27
Au  0.5000  0.5000  0.5000  4 Rb 4.38, 8 K 4.50
K  0.0000  0.5000  0.0000  2 Se 3.10
K  0.5000  0.0000  0.0000  2 Se 3.10
Rb  0.0000  0.0000  0.5000  2 Se 3.27

[5]
PuMn2Si2C | GGA-PBE | optimized geometry

- V (Å³/f.u.) = 78.5
- energy (eV/atom) = -9.2278
- formation energy without anion corrections (meV per atom) = -438

a = 3.8767 Å, b = 3.8767 Å, c = 5.2263 Å
α = 90.00°, β = 90.00°, γ = 90.00°
Last column: nearest neighbours and their distance in Å.
Positions (direct):
C  0.0000  0.0000  0.0000  4 Mn 1.94
Si  0.5000  0.5000  0.2739  1 Si 2.36, 4 Mn 2.41
Si  0.5000  0.5000  0.7261  1 Si 2.36, 4 Mn 2.41
Pu  0.0000  0.0000  0.5000  2 C 2.61
Mn  0.0000  0.5000  0.0000  2 C 1.94
Mn  0.5000  0.0000  0.0000  2 C 1.94

[6]
AsCl8 | GGA-PBE | optimized geometry

- V (Å³/f.u.) = 365.6
- energy (eV/atom) = -1.9966
- formation energy without anion corrections (meV per atom) = 162

a = 7.8254 Å, b = 7.8254 Å, c = 7.8254 Å
α = 106.47°, β = 106.47°, γ = 115.66°
Last column: nearest neighbours and their distance in Å.
Positions (direct):
Cl  0.3708  0.6292  0.0000  2 Cl 2.42
Cl  0.0000  0.7563  0.7563  1 As 2.28
Cl  0.0000  0.2437  0.2437  1 As 2.28
Cl  0.6292  0.6292  0.2583  2 Cl 2.42
Cl  0.6292  0.3708  0.0000  2 Cl 2.42
Cl  0.7563  0.0000  0.7563  1 As 2.28
Cl  0.2437  0.0000  0.2437  1 As 2.28
Cl  0.3708  0.3708  0.7417  2 Cl 2.42
As  0.0000  0.0000  0.0000  4 Cl 2.28

[7]
HfZr2Se6 | GGA-PBE | optimized geometry

- V (Å³/f.u.) = 251.4
- energy (eV/atom) = -6.6702
- formation energy without anion corrections (meV per atom) = -1342

a = 6.7316 Å, b = 6.5672 Å, c = 6.5672 Å
α = 120.00°, β = 90.00°, γ = 90.00°
Last column: nearest neighbours and their distance in Å.
Positions (direct):
Se  0.2643  0.6699  0.0000  1 Hf 2.69, 2 Zr 2.71
Se  0.2643  0.3301  0.3301  1 Hf 2.69, 2 Zr 2.71
Se  0.7357  0.3301  0.0000  1 Hf 2.69, 2 Zr 2.71
Se  0.7357  0.0000  0.3301  1 Hf 2.69, 2 Zr 2.71
Se  0.7357  0.6699  0.6699  1 Hf 2.69, 2 Zr 2.71
Se  0.2643  0.0000  0.6699  1 Hf 2.69, 2 Zr 2.71
Zr  0.5000  0.3333  0.6667  6 Se 2.71
Zr  0.5000  0.6667  0.3333  6 Se 2.71
Hf  0.5000  0.0000  0.0000  6 Se 2.69

[8]
Mg2TaTe | GGA-PBE | optimized geometry

- V (Å³/f.u.) = 85.2
- energy (eV/atom) = -4.3178
- formation energy without anion corrections (meV per atom) = 228

a = 5.4743 Å, b = 5.4743 Å, c = 3.1927 Å
α = 90.00°, β = 90.00°, γ = 117.11°
Last column: nearest neighbours and their distance in Å.
Positions (direct):
Ta  0.5000  0.0000  0.5000  2 Te 2.86, 8 Mg 3.17, 2 Ta 3.19
Mg  0.0000  0.0000  0.0000  4 Mg 2.86-3.19, 4 Ta 3.17, 4 Te 3.17
Mg  0.5000  0.5000  0.0000  4 Mg 2.86-3.19, 4 Te 3.17, 4 Ta 3.17
Te  0.0000  0.5000  0.5000  2 Ta 2.86, 8 Mg 3.17, 2 Te 3.19

[9]
Cu2OsSe | GGA-PBE | optimized geometry

- V (Å³/f.u.) = 57.0
- energy (eV/atom) = -5.3135
- formation energy without anion corrections (meV per atom) = 413

a = 4.5692 Å, b = 4.5692 Å, c = 4.5060 Å
α = 77.40°, β = 77.40°, γ = 38.52°
Last column: nearest neighbours and their distance in Å.
Positions (direct):
Se  0.7600  0.7600  0.6980  3 Os 2.48-2.56, 4 Cu 2.66-2.77
Os  0.4932  0.4932  0.5411  3 Se 2.48-2.56, 4 Cu 2.70-2.73
Cu  0.2500  0.2500  0.2176  3 Cu 2.49-2.58, 4 Se 2.66-2.77
Cu  0.9968  0.9968  0.0433  3 Cu 2.49-2.58, 4 Os 2.70-2.73

[10]
PrLuIn2 | GGA-PBE | optimized geometry

- V (Å³/f.u.) = 109.9
- energy (eV/atom) = -4.1341
- formation energy (eV per atom) = -0.440

a = 5.3764 Å, b = 5.3764 Å, c = 5.3764 Å
α = 60.00°, β = 60.00°, γ = 60.00°
Last column: nearest neighbours and their distance in Å.
Positions (direct):
Pr  0.0000  0.0000  0.0000  8 In 3.29
In  0.2500  0.2500  0.2500  4 Pr 3.29, 4 Lu 3.29
In  0.7500  0.7500  0.7500  4 Pr 3.29, 4 Lu 3.29
Lu  0.5000  0.5000  0.5000  8 In 3.29

[11]
CdHgSbCl6 | GGA-PBE | optimized geometry

- V (Å³/f.u.) = 272.8
- energy (eV/atom) = -2.5826
- formation energy without anion corrections (meV per atom) = -758

a = 6.8840 Å, b = 6.8838 Å, c = 6.6469 Å
α = 89.99°, β = 90.00°, γ = 60.00°
Last column: nearest neighbours and their distance in Å.
Positions (direct):
Cl  0.3582  0.6410  0.2737  1 Sb 2.67, 1 Cd 2.68
Cl  0.3582  0.0008  0.7263  1 Sb 2.67, 1 Cd 2.68
Cl  0.6410  0.3582  0.7263  1 Sb 2.67, 1 Cd 2.68
Cl  0.0008  0.3582  0.2737  1 Sb 2.67, 1 Cd 2.68
Cl  0.0007  0.6410  0.7263  1 Sb 2.67, 1 Cd 2.68
Cl  0.6410  0.0008  0.2737  1 Sb 2.67, 1 Cd 2.68
Cd  0.6666  0.6667  0.5000  6 Cl 2.68
Sb  0.3333  0.3333  0.5000  6 Cl 2.67
Hg  0.0000  0.0000  0.0000  6 Cl 3.07

[12]
LaPmNdEr | GGA-PBE | optimized geometry

- V (Å³/f.u.) = 137.3
- energy (eV/atom) = -4.7299
- formation energy (eV per atom) = 0.022

a = 3.6594 Å, b = 3.6594 Å, c = 11.8401 Å
α = 90.00°, β = 90.00°, γ = 120.00°
Last column: nearest neighbours and their distance in Å.
Positions (direct):
Pm  0.3333  0.6667  0.9202  3 Er 3.55, 3 Nd 3.64, 6 Pm 3.66
Er  0.6667  0.3333  0.6788  3 Pm 3.55, 3 La 3.63, 6 Er 3.66
Nd  0.6667  0.3333  0.1709  3 Pm 3.64, 6 Nd 3.66, 3 La 3.72
La  0.0000  0.0000  0.4294  3 Er 3.63, 6 La 3.66, 3 Nd 3.72